# LaPr3Ho5, optimized geometry, DFT GGA-PBE
data_LaPr3Ho5
_symmetry_space_group_name_H-M 'P 1'
_symmetry_Int_Tables_number 1
_cell_length_a 9.608
_cell_length_b 9.608
_cell_length_c 10.034
_cell_angle_alpha 121.36
_cell_angle_beta 121.36
_cell_angle_gamma 72.41
loop_
_symmetry_equiv_pos_as_xyz
'x,y,z'
loop_
_atom_site_label
_atom_site_type_symbol
_atom_site_fract_x
_atom_site_fract_y
_atom_site_fract_z
_atom_site_occupancy
La1 La 0.245 0.245 0.081 1
La2 La 0.755 0.755 0.919 1
Pr1 Pr 0.000 0.000 0.000 1
Pr2 Pr 0.025 0.025 0.686 1
Pr3 Pr 0.492 0.492 0.793 1
Pr4 Pr 0.500 0.500 0.500 1
Pr5 Pr 0.508 0.508 0.207 1
Pr6 Pr 0.975 0.975 0.314 1
Ho1 Ho 0.096 0.600 0.451 1
Ho2 Ho 0.224 0.224 0.407 1
Ho3 Ho 0.258 0.742 0.000 1
Ho4 Ho 0.283 0.283 0.786 1
Ho5 Ho 0.400 0.904 0.549 1
Ho6 Ho 0.600 0.096 0.451 1
Ho7 Ho 0.717 0.717 0.214 1
Ho8 Ho 0.742 0.258 0.000 1
Ho9 Ho 0.776 0.776 0.593 1
Ho10 Ho 0.904 0.400 0.549 1
# - formation energy (eV/atom) = 0.492
# - total magnetization (μB/f.u.) = 0.0
# - electronic total energy (eV per formula unit) = -37.72